Record 1
# K2PaAgO4

A geometry-optimized K2PaAgO4 structure (PBE, Alexandria via LeMat-Bulk).

abc: 6.183 3.777 6.516
angles: 90.00 91.21 90.00
Space group P2/m (No. 10)
Symmetry-distinct sites (fractional):
K (0.000, 0.000, 0.000) x1
K (0.500, 0.500, 0.000) x1
Pa (0.000, 0.500, 0.500) x1
Ag (0.500, 0.000, 0.500) x1
O (0.168, 0.500, 0.240) x2
O (0.192, 0.000, 0.632) x2

## Properties
ΔE_f (raw): -2.155 eV/atom

***

Record 2
# BaNb6S8

A geometry-optimized BaNb6S8 structure (PBE, Alexandria via LeMat-Bulk).

abc: 9.4140 9.4140 12.3268
angles: 90.00 90.00 120.00
Space group R-3 (No. 148, hexagonal axes)
Symmetry-distinct sites (fractional):
Ba (0.0000, 0.0000, 0.0000) x3
Nb (0.0147, 0.8320, 0.3922) x18
S (0.0000, 0.0000, 0.2440) x6
S (0.0171, 0.6466, 0.2422) x18

## Properties
ΔE_f (raw): -1.098 eV/atom

***

Record 3
# Ti2PdPt

A geometry-optimized Ti2PdPt structure (PBE, Alexandria via LeMat-Bulk).

abc: 2.840 2.840 7.717
angles: 90.00 90.00 90.00
Space group P4/mmm (No. 123)
Symmetry-distinct sites (fractional):
Ti (0.000, 0.000, 0.248) x2
Pd (0.500, 0.500, 0.500) x1
Pt (0.500, 0.500, 0.000) x1

## Properties
E_form: -0.7207 eV per atom

***

Record 4
# KAgMo2H

A geometry-optimized KAgMo2H structure (PBE, Alexandria via LeMat-Bulk).

abc: 4.568 4.568 5.261
angles: 90.00 90.00 90.00
Space group P4/mmm (No. 123)
Symmetry-distinct sites (fractional):
K (0.000, 0.000, 0.000) x1
Ag (0.000, 0.000, 0.500) x1
Mo (0.000, 0.500, 0.000) x2
H (0.500, 0.500, 0.500) x1

## Properties
Electronic total energy: -2.36 eV per atom